Entry 1:
A relaxed ThZn crystal. Source: OQMD, functional PBE.

For the formation energy from the elements, the calculation gives 0.915 eV per atom.

Geometry as CIF:
```
data_ThZn
_chemical_formula_sum 'Th4 Zn4'
_symmetry_space_group_name_H-M 'F -4 3 m'
_symmetry_Int_Tables_number 216
_symmetry_space_group_name_Hall 'F -4 2 3'
_cell_length_a 6.5505
_cell_length_b 6.5505
_cell_length_c 6.5505
_cell_angle_alpha 90.00
_cell_angle_beta 90.00
_cell_angle_gamma 90.00
loop_
_atom_site_label
_atom_site_type_symbol
_atom_site_fract_x
_atom_site_fract_y
_atom_site_fract_z
Th1 Th 0.0000 0.0000 0.0000
Zn1 Zn 0.2500 0.2500 0.7500
```

=====

Entry 2:
A relaxed Er5Tm2Ni2Te2 crystal. Source: OQMD, functional PBE.

Its energy above the most stable polymorph in this dataset is 3 meV per atom.

Geometry as CIF:
```
data_Er5Tm2Ni2Te2
_chemical_formula_sum 'Er10 Tm4 Ni4 Te4'
_symmetry_space_group_name_H-M 'I m m 2'
_symmetry_Int_Tables_number 44
_symmetry_space_group_name_Hall 'I 2 -2'
_cell_length_a 3.8221
_cell_length_b 15.4545
_cell_length_c 9.4688
_cell_angle_alpha 90.00
_cell_angle_beta 90.00
_cell_angle_gamma 90.00
loop_
_atom_site_label
_atom_site_type_symbol
_atom_site_fract_x
_atom_site_fract_y
_atom_site_fract_z
Er1 Er 0.0000 0.0000 0.0000
Er2 Er 0.0000 0.3146 0.3792
Er3 Er 0.0000 0.3535 0.7304
Tm1 Tm 0.0000 0.1332 0.5830
Ni1 Ni 0.0000 0.2376 0.0720
Te1 Te 0.0000 0.0000 0.3374
Te2 Te 0.0000 0.5000 0.2351
```

=====

Entry 3:
A relaxed NdGaNiPt3 crystal. Source: OQMD, functional PBE.

The value obtained for the uncorrected energy is -36.26 eV/f.u.

Geometry as CIF:
```
data_NdGaNiPt3
_chemical_formula_sum 'Nd1 Ga1 Ni1 Pt3'
_symmetry_space_group_name_H-M 'P -6 m 2'
_symmetry_Int_Tables_number 187
_symmetry_space_group_name_Hall 'P -6 2'
_cell_length_a 5.4966
_cell_length_b 5.4966
_cell_length_c 4.0570
_cell_angle_alpha 90.00
_cell_angle_beta 90.00
_cell_angle_gamma 120.00
loop_
_atom_site_label
_atom_site_type_symbol
_atom_site_fract_x
_atom_site_fract_y
_atom_site_fract_z
Nd1 Nd 0.0000 0.0000 0.0000
Ga1 Ga 0.6667 0.3333 0.0000
Ni1 Ni 0.3333 0.6667 0.0000
Pt1 Pt 0.0052 0.5026 0.5000
```

=====

Entry 4:
A relaxed Zr2TlC crystal. Source: OQMD, functional PBE.

The value obtained for the uncorrected energy is -31.19 eV/f.u.

Geometry as CIF:
```
data_Zr2TlC
_chemical_formula_sum 'Zr4 Tl2 C2'
_symmetry_space_group_name_H-M 'P 63/m m c'
_symmetry_Int_Tables_number 194
_symmetry_space_group_name_Hall '-P 6c 2c'
_cell_length_a 3.3920
_cell_length_b 3.3920
_cell_length_c 15.0947
_cell_angle_alpha 90.00
_cell_angle_beta 90.00
_cell_angle_gamma 120.00
loop_
_atom_site_label
_atom_site_type_symbol
_atom_site_fract_x
_atom_site_fract_y
_atom_site_fract_z
Zr1 Zr 0.3333 0.6667 0.0815
Tl1 Tl 0.3333 0.6667 0.7500
C1 C 0.0000 0.0000 0.0000
```

=====

Entry 5:
A relaxed AlPd2Pb crystal. Source: OQMD, functional PBE.

The value obtained for the uncorrected energy is -19.16 eV/f.u.

Geometry as CIF:
```
data_AlPd2Pb
_chemical_formula_sum 'Al2 Pd4 Pb2'
_symmetry_space_group_name_H-M 'I 4/m m m'
_symmetry_Int_Tables_number 139
_symmetry_space_group_name_Hall '-I 4 2'
_cell_length_a 4.6313
_cell_length_b 4.6313
_cell_length_c 6.5378
_cell_angle_alpha 90.00
_cell_angle_beta 90.00
_cell_angle_gamma 90.00
loop_
_atom_site_label
_atom_site_type_symbol
_atom_site_fract_x
_atom_site_fract_y
_atom_site_fract_z
Al1 Al 0.0000 0.0000 0.0000
Pd1 Pd 0.0000 0.5000 0.2500
Pb1 Pb 0.0000 0.0000 0.5000
```

=====

Entry 6:
A relaxed ZrBeZnNi crystal. Source: OQMD, functional PBE.

Its energy above the most stable polymorph in this dataset is 108 meV per atom.

Geometry as CIF:
```
data_ZrBeZnNi
_chemical_formula_sum 'Zr4 Be4 Zn4 Ni4'
_symmetry_space_group_name_H-M 'F -4 3 m'
_symmetry_Int_Tables_number 216
_symmetry_space_group_name_Hall 'F -4 2 3'
_cell_length_a 6.0396
_cell_length_b 6.0396
_cell_length_c 6.0396
_cell_angle_alpha 90.00
_cell_angle_beta 90.00
_cell_angle_gamma 90.00
loop_
_atom_site_label
_atom_site_type_symbol
_atom_site_fract_x
_atom_site_fract_y
_atom_site_fract_z
Zr1 Zr 0.0000 0.0000 0.0000
Be1 Be 0.2500 0.2500 0.2500
Zn1 Zn 0.2500 0.2500 0.7500
Ni1 Ni 0.0000 0.0000 0.5000
```

=====

Entry 7:
A relaxed YBeInNi crystal. Source: OQMD, functional PBE.

Its energy above the most stable polymorph in this dataset is 229 meV per atom.

Geometry as CIF:
```
data_YBeInNi
_chemical_formula_sum 'Y4 Be4 In4 Ni4'
_symmetry_space_group_name_H-M 'F -4 3 m'
_symmetry_Int_Tables_number 216
_symmetry_space_group_name_Hall 'F -4 2 3'
_cell_length_a 6.5727
_cell_length_b 6.5727
_cell_length_c 6.5727
_cell_angle_alpha 90.00
_cell_angle_beta 90.00
_cell_angle_gamma 90.00
loop_
_atom_site_label
_atom_site_type_symbol
_atom_site_fract_x
_atom_site_fract_y
_atom_site_fract_z
Y1 Y 0.0000 0.0000 0.0000
Be1 Be 0.0000 0.0000 0.5000
In1 In 0.2500 0.2500 0.2500
Ni1 Ni 0.2500 0.2500 0.7500
```

=====

Entry 8:
A relaxed CuBiSbF crystal. Source: OQMD, functional PBE.

Its energy above the most stable polymorph in this dataset is 218 meV per atom.

Geometry as CIF:
```
data_CuBiSbF
_chemical_formula_sum 'Cu4 Bi4 Sb4 F4'
_symmetry_space_group_name_H-M 'C m c m'
_symmetry_Int_Tables_number 63
_symmetry_space_group_name_Hall '-C 2c 2'
_cell_length_a 3.2818
_cell_length_b 23.2835
_cell_length_c 4.6777
_cell_angle_alpha 90.00
_cell_angle_beta 90.00
_cell_angle_gamma 90.00
loop_
_atom_site_label
_atom_site_type_symbol
_atom_site_fract_x
_atom_site_fract_y
_atom_site_fract_z
Cu1 Cu 0.0000 0.0000 0.0000
Bi1 Bi 0.0000 0.4108 0.2500
Sb1 Sb 0.0000 0.2227 0.7500
F1 F 0.0000 0.3958 0.7500
```